# 1
First-principles (PBE-GGA) data for an optimized crystal structure of Ce2GdSb, as listed in Alexandria.

Summary:
E above lowest polymorph ... 0.000 eV per atom
Uncorrected energy ... -8.05 eV per atom
Formation energy without anion corrections ... -0.53 eV/atom

```
Ce2GdSb
1.0
4.629 0.000 0.000
0.000 4.629 0.000
0.000 0.000 5.046
Ce Gd Sb
2 1 1
direct
0.000 0.500 0.000
0.500 0.000 0.000
0.000 0.000 0.500
0.500 0.500 0.500
```

---

# 2
First-principles (PBE-GGA) data for an optimized crystal structure of CeGdZnSb, as listed in Alexandria.

Summary:
Uncorrected energy ... -6.88 eV per atom
Formation energy without anion corrections ... -0.53 eV/atom

```
CeGdZnSb
1.0
7.464 0.000 0.000
0.000 7.464 0.000
0.000 0.000 7.464
Ce Gd Zn Sb
4 4 4 4
direct
0.000 0.000 0.000
0.000 0.500 0.500
0.500 0.000 0.500
0.500 0.500 0.000
0.000 0.000 0.500
0.000 0.500 0.000
0.500 0.000 0.000
0.500 0.500 0.500
0.250 0.250 0.250
0.250 0.750 0.750
0.750 0.250 0.750
0.750 0.750 0.250
0.250 0.250 0.750
0.250 0.750 0.250
0.750 0.250 0.250
0.750 0.750 0.750
```

---

# 3
First-principles (PBE-GGA) data for an optimized crystal structure of CeGdSc, as listed in Alexandria.

Summary:
E above lowest polymorph ... 0.000 eV per atom
Uncorrected energy ... -8.71 eV per atom
ΔH_f (0 K) ... 0.08 eV/atom

```
CeGdSc
1.0
3.427 0.000 0.000
-1.714 2.968 0.000
0.000 0.000 8.320
Ce Gd Sc
1 1 1
direct
0.000 0.000 0.000
0.667 0.333 0.344
0.333 0.667 0.680
```

---

# 4
First-principles (PBE-GGA) data for an optimized crystal structure of CeGd2Sc, as listed in Alexandria.

Summary:
E above lowest polymorph ... 0.089 eV per atom
Uncorrected energy ... -9.93 eV per atom
ΔH_f (0 K) ... 0.18 eV/atom

```
CeGd2Sc
1.0
3.356 0.000 0.000
-1.678 2.907 0.000
0.000 0.000 36.076
Ce Gd Sc
3 6 3
direct
0.000 0.000 0.000
0.333 0.667 0.667
0.667 0.333 0.333
0.000 0.000 0.090
0.000 0.000 0.910
0.333 0.667 0.577
0.333 0.667 0.757
0.667 0.333 0.243
0.667 0.333 0.423
0.000 0.000 0.500
0.333 0.667 0.167
0.667 0.333 0.833
```